No. 1
Entry from Alexandria via LeMat-Bulk: a geometry-optimized ZrNi2Ag structure (PBE-GGA).

Cell: 4.656 4.656 4.656 Å, 128.34 128.34 76.08°
Atoms (fractional coordinates):
Zr 0.000 0.000 0.000
Ni 0.250 0.750 0.500
Ni 0.750 0.250 0.500
Ag 0.500 0.500 0.000

Computed properties:
Space group = I4/mmm
Energy relative to the elements = -17.7 kJ/mol of atoms
Energy above the most stable polymorph in this dataset = 0.03 eV/f.u.
DFT total energy = -23.7 eV for the cell shown

---

No. 2
Entry from Alexandria via LeMat-Bulk: a geometry-optimized TaAlS4 structure (PBE-GGA).

Cell: 6.079 3.452 6.934 Å, 90.00 107.20 90.00°
Atoms (fractional coordinates):
Ta 0.000 0.000 0.000
Al 0.500 0.500 0.000
S 0.233 0.500 0.220
S 0.272 0.000 0.797
S 0.728 0.000 0.203
S 0.767 0.500 0.780

Computed properties:
Space group = P2/m
Energy above the most stable polymorph in this dataset = 0.00 eV/f.u.
Formation energy without anion corrections = -0.93 eV per atom
DFT total energy = -37.7 eV for the cell shown

---

No. 3
Entry from Alexandria via LeMat-Bulk: a geometry-optimized SrAgN structure (PBE-GGA).

Cell: 6.250 6.250 5.431 Å, 98.19 98.19 36.58°
Atoms (fractional coordinates):
Sr 0.000 0.000 0.000
Sr 0.216 0.216 0.684
Ag 0.460 0.460 0.463
Ag 0.765 0.765 0.183
N 0.331 0.331 0.135
N 0.589 0.589 0.769

Computed properties:
Space group = Cm
Formation energy without anion corrections = -0.06 eV per atom
DFT total energy = -26.1 eV for the cell shown

---

No. 4
Entry from Alexandria via LeMat-Bulk: a geometry-optimized Tm2Sc3Ga2 structure (PBE-GGA).

Cell: 6.281 6.281 8.375 Å, 113.03 113.03 33.43°
Atoms (fractional coordinates):
Tm 0.140 0.140 0.305
Tm 0.860 0.860 0.695
Sc 0.386 0.386 0.055
Sc 0.500 0.500 0.500
Sc 0.614 0.614 0.945
Ga 0.173 0.173 0.722
Ga 0.827 0.827 0.278

Computed properties:
Space group = C2/m
Energy relative to the elements = -34.1 kJ/mol of atoms
DFT total energy = -36.5 eV for the cell shown